Entry 1:
Entry from Alexandria via LeMat-Bulk: crystalline Pr12Sm7Er at its relaxed geometry (GGA-PBE).

The structure in extended XYZ format:
```
20
Lattice="6.226 0.000 -1.281 -3.226 9.890 -5.166 0.227 0.000 11.613" Properties=species:S:1:pos:R:3 pbc="T T T"
Er 0.000 0.000 0.000
Pr -1.301 5.825 -1.089
Pr 1.916 4.063 4.078
Pr 1.697 3.500 9.242
Pr 4.754 3.505 1.082
Pr 0.109 1.762 5.808
Pr 1.310 5.827 1.088
Pr 2.694 0.004 3.575
Pr 0.533 9.886 1.591
Pr -1.528 6.386 4.084
Pr 4.527 4.065 6.255
Pr 3.117 8.128 -0.642
Pr 1.529 6.390 -4.076
Sm 1.669 7.438 4.045
Sm 4.895 2.449 9.205
Sm 3.113 0.000 -0.641
Sm 1.557 2.452 1.121
Sm -2.298 9.887 3.414
Sm 5.524 0.003 1.752
Sm -1.668 7.441 -4.039
```

Output
Energy relative to the elements in eV per atom: 0.21
VASP energy in eV per cell: -90.75
DOS(E_F) in states/eV/atom: 1.291
Energy above the most stable polymorph in this dataset in eV/atom: 0.000


Entry 2:
Entry from Alexandria via LeMat-Bulk: crystalline Pd3PtAu2 at its relaxed geometry (GGA-PBE).

The structure in extended XYZ format:
```
6
Lattice="2.835 0.000 0.000 0.000 2.835 0.000 0.000 0.000 12.138" Properties=species:S:1:pos:R:3 pbc="T T T"
Pd 0.000 0.000 0.000
Pd 0.000 0.000 4.128
Pd 0.000 0.000 8.010
Au 1.417 1.417 2.058
Au 1.417 1.417 10.081
Pt 1.417 1.417 6.069
```

Output
Energy relative to the elements in eV per atom: -0.05
VASP energy in eV per cell: -28.48
DOS(E_F) in states/eV/atom: 1.395
Energy above the most stable polymorph in this dataset in eV/atom: 0.000


Entry 3:
Entry from Alexandria via LeMat-Bulk: crystalline PmZrIr4 at its relaxed geometry (GGA-PBE).

The structure in extended XYZ format:
```
6
Lattice="5.339 0.000 0.000 2.669 4.623 0.000 2.669 1.541 4.359" Properties=species:S:1:pos:R:3 pbc="T T T"
Ir 4.004 3.853 2.724
Ir 6.673 3.853 2.724
Ir 5.339 3.082 0.545
Ir 5.339 1.542 2.724
Pm 0.000 0.000 0.000
Zr 2.669 1.541 1.090
```

Output
Energy relative to the elements in eV per atom: -0.66
VASP energy in eV per cell: -52.69
DOS(E_F) in states/eV/atom: 0.534


Entry 4:
Entry from Alexandria via LeMat-Bulk: crystalline Ba3Pr2UN6 at its relaxed geometry (GGA-PBE).

The structure in extended XYZ format:
```
12
Lattice="-1.909 2.523 5.609 3.027 -5.683 -0.094 5.289 4.027 -1.218" Properties=species:S:1:pos:R:3 pbc="T T T"
Pr 1.378 -2.943 1.811
Pr -0.261 -0.218 3.704
N 5.893 -0.419 2.552
N 1.942 -1.089 0.095
N 0.513 1.287 1.746
N 4.463 2.464 0.316
N 1.944 -1.597 3.981
N 4.464 1.956 4.202
Ba 4.846 -2.298 0.251
Ba 1.560 3.165 4.047
Ba 3.203 0.434 2.149
U 0.000 0.000 0.000
```

Output
VASP energy in eV per cell: -88.58
DOS(E_F) in states/eV/atom: 0.008